No. 1
## AcPu2Ga6 (PBE)

Data for a geometry-optimized AcPu2Ga6 structure.

```
9
Lattice="-2.270 3.731 6.333 2.270 -3.731 6.333 2.270 3.731 -6.333" Properties=species:S:1:pos:R:3 pbc="T T T"
Ac 0.000 0.000 0.000
Pu 2.270 0.000 4.836
Pu 0.000 3.731 1.497
Ga 2.270 1.518 -2.403
Ga 2.270 2.403 0.000
Ga 2.270 1.518 2.403
Ga 0.000 2.213 3.930
Ga 0.000 1.328 6.333
Ga 0.000 2.213 8.736
```

Output
Relative energy among the computed polymorphs = 68 meV/atom
Total DFT energy (no corrections) = -0.439 Ry/atom
Crystal system = orthorhombic
Formation energy from the elements = -0.320 eV/atom
Symmetry = Immm, No. 71

---

No. 2
## YAlCo2 (PBE)

Data for a geometry-optimized YAlCo2 structure.

```
8
Lattice="2.019 -6.323 0.000 2.019 6.323 0.000 0.000 0.000 5.137" Properties=species:S:1:pos:R:3 pbc="T T T"
Y 2.019 3.667 3.853
Y 2.019 -3.667 1.284
Al 2.019 5.748 1.284
Al 2.019 -5.748 3.853
Co 2.019 1.102 0.086
Co 2.019 1.102 2.482
Co 2.019 -1.102 2.654
Co 2.019 -1.102 5.051
```

Output
Total DFT energy (no corrections) = -0.464 Ry/atom
Crystal system = orthorhombic
Formation energy from the elements = -0.208 eV/atom
Symmetry = Cmcm, No. 63

---

No. 3
## ThPa2Hg (PBE)

Data for a geometry-optimized ThPa2Hg structure.

```
4
Lattice="3.982 0.000 0.000 0.000 3.982 0.000 0.000 0.000 6.761" Properties=species:S:1:pos:R:3 pbc="T T T"
Th 0.000 0.000 0.000
Pa 1.991 1.991 1.842
Pa 1.991 1.991 4.919
Hg 0.000 0.000 3.380
```

Output
Relative energy among the computed polymorphs = 130 meV/atom
Total DFT energy (no corrections) = -0.472 Ry/atom
Crystal system = tetragonal
Formation energy from the elements = 0.261 eV/atom
Symmetry = P4/mmm, No. 123